No. 1
Dy3Y12Mg: relaxed, PBE.

Cell lengths 5.0162, 5.0162, 20.1580 Å; angles 90.00, 90.00, 90.00 degrees
Last column: nearest neighbours and their distance in Å.
Fractional coordinates of all 16 atoms:
1 Dy 0.0000 0.0000 0.2485  12 Y 3.55-3.56
2 Dy 0.0000 0.0000 0.5000  12 Y 3.55-3.57
3 Dy 0.0000 0.0000 0.7515  12 Y 3.55-3.56
4 Y 0.5000 0.5000 0.0000  8 Y 3.53, 4 Mg 3.55
5 Y 0.5000 0.5000 0.2457  8 Y 3.52-3.60, 4 Dy 3.55
6 Y 0.5000 0.5000 0.5000  4 Dy 3.55, 8 Y 3.57
7 Y 0.5000 0.5000 0.7543  8 Y 3.52-3.60, 4 Dy 3.55
8 Y 0.5000 0.0000 0.1229  8 Y 3.52-3.55, 2 Mg 3.53, 2 Dy 3.56
9 Y 0.5000 0.0000 0.3738  8 Y 3.55-3.60, 4 Dy 3.56-3.57
10 Y 0.5000 0.0000 0.6262  8 Y 3.55-3.60, 4 Dy 3.56-3.57
11 Y 0.5000 0.0000 0.8771  8 Y 3.52-3.55, 2 Mg 3.53, 2 Dy 3.56
12 Y 0.0000 0.5000 0.1229  8 Y 3.52-3.55, 2 Mg 3.53, 2 Dy 3.56
13 Y 0.0000 0.5000 0.3738  8 Y 3.55-3.60, 4 Dy 3.56-3.57
14 Y 0.0000 0.5000 0.6262  8 Y 3.55-3.60, 4 Dy 3.56-3.57
15 Y 0.0000 0.5000 0.8771  8 Y 3.52-3.55, 2 Mg 3.53, 2 Dy 3.56
16 Mg 0.0000 0.0000 0.0000  12 Y 3.53-3.55

DOS(E_F) in states/eV per atom: 1.393
Raw total energy in eV per formula unit: -92.62
Space group: P4/mmm (123)

---

No. 2
Dy4YMg: relaxed, PBE.

Cell lengths 3.5589, 3.5589, 14.3506 Å; angles 90.00, 90.00, 90.00 degrees
Last column: nearest neighbours and their distance in Å.
Fractional coordinates of all 6 atoms:
1 Dy 0.5000 0.5000 0.1764  8 Dy 3.51-3.56, 4 Y 3.57
2 Dy 0.0000 0.0000 0.6530  4 Mg 3.34, 8 Dy 3.51-3.56
3 Dy 0.0000 0.0000 0.3470  4 Mg 3.34, 8 Dy 3.51-3.56
4 Dy 0.5000 0.5000 0.8236  8 Dy 3.51-3.56, 4 Y 3.57
5 Y 0.0000 0.0000 0.0000  4 Y 3.56, 8 Dy 3.57
6 Mg 0.5000 0.5000 0.5000  8 Dy 3.34, 4 Mg 3.56

E above lowest polymorph in eV/atom: 0.000
DOS(E_F) in states/eV per atom: 1.372
Raw total energy in eV per formula unit: -26.54
Space group: P4/mmm (123)

---

Which of these has the highest raw total energy? Dy4YMg

---

Which value of DOS(E_F) does entry 2 give? 1.372 states/eV per atom

---

Among the records above, which one has the lowest DOS(E_F)? Dy4YMg

---

Number 1 is which compound? Dy3Y12Mg